## CdNi2Cl (PBE-GGA)

Data for a geometry-optimized CdNi2Cl structure.

Geometry as POSCAR:
```
CdNi2Cl
1.0
2.9916 0.0000 0.0000
0.0000 4.4348 0.0000
0.0000 0.0000 10.9297
Cd Ni Cl
2 4 2
Direct
0.0000 0.0000 0.0000
0.5000 0.5000 0.5000
0.0000 0.0000 0.4451
0.0000 0.5000 0.1187
0.5000 0.0000 0.6187
0.5000 0.5000 0.9451
0.0000 0.5000 0.7803
0.5000 0.0000 0.2803
```

Computed properties:
Energy above the lowest structure with this stoichiometry, meV per atom: 161
Space-group type: No. 44
M_tot, μB/f.u.: 0.73
Energy relative to the elements, uncorrected, meV per atom: 193
Raw total energy, eV/atom: -3.388


## CdNi2Cl6 (PBE-GGA)

Data for a geometry-optimized CdNi2Cl6 structure.

Geometry as POSCAR:
```
CdNi2Cl6
1.0
6.2717 0.0000 0.0000
-3.1359 5.4315 0.0000
0.0000 0.0000 6.4458
Cd Ni Cl
1 2 6
Direct
0.0000 0.0000 0.0000
0.3333 0.6667 0.0000
0.6667 0.3333 0.0000
0.0000 0.3618 0.7904
0.0000 0.6382 0.2096
0.3618 0.0000 0.7904
0.3618 0.3618 0.2096
0.6382 0.0000 0.2096
0.6382 0.6382 0.7904
```

Computed properties:
Space-group type: No. 162
M_tot, μB/f.u.: 3.83
Energy relative to the elements, uncorrected, meV per atom: -733
Raw total energy, eV/atom: -3.350


## Cd4NiCl (PBE-GGA)

Data for a geometry-optimized Cd4NiCl structure.

Geometry as POSCAR:
```
Cd4NiCl
1.0
0.0000 4.0752 4.0752
4.0752 0.0000 4.0752
4.0752 4.0752 0.0000
Cd Ni Cl
4 1 1
Direct
0.3756 0.3756 0.3756
0.3756 0.3756 0.8733
0.3756 0.8733 0.3756
0.8733 0.3756 0.3756
0.7500 0.7500 0.7500
0.0000 0.0000 0.0000
```

Computed properties:
Space-group type: No. 216
M_tot, μB/f.u.: 0.00
Energy relative to the elements, uncorrected, meV per atom: 329
Raw total energy, eV/atom: -1.553